PBE BeFeSb3, relaxed; formation energy from raw total energies = 1.103 eV per atom
1.0
-0.9233 0.6298 4.6771
0.1723 -4.7580 0.6747
4.7161 0.2972 0.8910
Sb Fe Be
3 1 1
direct
0.0000 0.5000 0.0000
0.0000 0.0000 0.5000
0.5000 0.0000 0.0000
0.5000 0.5000 0.5000
0.0000 0.0000 0.0000

PBE La2CePm, relaxed; formation energy from the elements = 0.08 eV/atom
1.0
-2.5255 -2.7874 -3.4827
3.7116 -3.5777 0.1719
-2.5241 -2.4369 3.7809
La Ce Pm
2 1 1
direct
0.0000 0.0000 0.5000
0.0000 0.5000 0.0000
0.5000 0.0000 0.0000
0.5000 0.5000 0.5000

PBE Tc3GeIr, relaxed; formation energy from the elements = 1.48 eV/atom
1.0
4.4470 0.0000 0.0000
0.0000 4.4470 0.0000
0.0000 0.0000 4.4470
Ge Ir Tc
1 1 3
direct
0.0000 0.0000 0.0000
0.5000 0.5000 0.5000
0.0000 0.5000 0.0000
0.0000 0.0000 0.5000
0.5000 0.0000 0.0000

PBE CeSmF2, relaxed; formation energy from raw total energies = -2.268 eV per atom
1.0
-2.1335 -1.2177 2.5138
0.0859 -3.4011 0.8826
4.9098 0.0305 6.6388
Ce Sm F
1 1 2
direct
0.5000 0.5000 0.5000
0.0000 0.0000 0.0000
0.0962 0.0962 0.7113
0.9038 0.9038 0.2887

PBE BaNpBi2O6, relaxed; formation energy from raw total energies = -2.009 eV per atom
1.0
-1.8224 -4.8760 3.3637
2.7874 -1.3305 5.3683
-3.2329 1.0296 5.5334
Ba Np Bi O
1 1 2 6
direct
0.7906 0.7931 0.6225
0.3183 0.3170 0.0463
0.5261 0.5323 0.4145
0.0138 0.0154 0.9527
0.5950 0.2439 0.2256
0.2447 0.9293 0.2309
0.9317 0.6019 0.2277
0.3651 0.6999 0.7603
0.7042 0.1645 0.7689
0.1721 0.3643 0.7658

PBE Cs3CaHf, relaxed; formation energy from the elements = 1.16 eV/atom
1.0
-0.1748 0.4854 7.0765
7.0126 -1.0520 0.2454
1.0660 7.0001 -0.4539
Cs Ca Hf
3 1 1
direct
0.0000 0.5000 0.0000
0.0000 0.0000 0.5000
0.5000 0.0000 0.0000
0.5000 0.5000 0.5000
0.0000 0.0000 0.0000

PBE Li7Mg3Cd2, relaxed; formation energy from the elements = -0.02 eV/atom
1.0
-4.5203 0.8733 0.6404
0.2723 -1.7214 4.2696
2.5076 11.5182 1.9934
Li Mg Cd
7 3 2
direct
0.0000 0.4204 0.8409
0.0000 0.7252 0.4504
0.0000 0.0000 0.0000
0.0000 0.5796 0.1591
0.5000 0.0770 0.1540
0.5000 0.9230 0.8460
0.0000 0.2748 0.5496
0.5000 0.5000 0.0000
0.5000 0.6547 0.3094
0.5000 0.3453 0.6906
0.0000 0.8489 0.6979
0.0000 0.1511 0.3021

PBE SIO2, relaxed; formation energy from raw total energies = 0.245 eV per atom
1.0
5.9120 0.0000 0.0000
0.0000 5.9120 0.0000
2.9560 2.9560 4.1735
I S O
2 2 4
direct
0.0000 0.0000 0.0000
0.7500 0.2500 0.5000
0.5000 0.5000 0.0000
0.2500 0.7500 0.5000
0.3747 0.1250 0.2500
0.3753 0.6250 0.2500
0.3750 0.6253 0.7500
0.8750 0.6247 0.7500

| no. | energy (eV per cell) |
| --- | --- |
| 1 | -19.041 |
| 2 | -20.234 |
| 3 | -37.196 |
| 4 | -23.469 |
| 5 | -72.463 |
| 6 | -8.691 |
| 7 | -20.254 |
| 8 | -29.229 |